Er6ZnRh | GGA-PBE | optimized geometry

Results
SG: I4/mmm
VASP energy: -38.301 eV/cell
DOS(E_F): 8.3 states/eV/f.u.

Unit cell a=9.132 b=9.132 c=9.132 alpha=148.57 beta=148.57 gamma=45.04
Fractional positions:
Er 0.100 0.600 0.500
Er 0.248 0.248 0.000
Er 0.400 0.900 0.500
Er 0.600 0.100 0.500
Er 0.752 0.752 0.000
Er 0.900 0.400 0.500
Zn 0.000 0.000 0.000
Rh 0.500 0.500 0.000